Density functional theory data (PBE) for a relaxed structure of BC.

```
12
Lattice="2.549 0.000 0.000 0.000 4.880 0.235 0.000 0.276 6.314" Properties=species:S:1:pos:R:3 pbc="T T T"
C 0.000 4.826 1.838
B 0.000 4.821 0.244
C 0.000 3.512 4.413
C 1.274 4.152 3.833
B 1.274 0.853 3.812
B 0.000 1.931 4.198
C 0.000 3.613 5.944
C 1.274 2.838 6.408
B 0.000 1.372 2.418
C 1.274 4.051 2.302
B 1.274 1.413 5.593
B 1.274 2.567 1.687
```

Computed properties:
- Symmetry: P2_1/m
- DFT formation energy: 354 meV/atom
- Total moment: 0.0 μB per formula unit

Density functional theory data (PBE) for a relaxed structure of BC.

```
10
Lattice="-4.927 9.142 -3.544 -3.512 8.065 -6.560 2.753 -9.507 4.738" Properties=species:S:1:pos:R:3 pbc="T T T"
C -2.314 2.320 -0.873
B -4.068 5.896 -2.973
C -0.037 0.075 -0.044
B -6.677 13.615 -7.995
B -3.486 7.108 -4.174
B -5.026 10.249 -6.019
C -2.441 3.484 -3.380
C -0.766 0.068 -1.374
B -1.630 3.324 -1.952
C -4.290 7.254 -5.594
```

Computed properties:
- Symmetry: Imm2
- DFT formation energy: 405 meV/atom
- Total moment: 0.0 μB per formula unit

Density functional theory data (PBE) for a relaxed structure of B3C2.

```
10
Lattice="11.476 -1.323 0.046 11.476 1.323 0.046 11.314 0.000 2.331" Properties=species:S:1:pos:R:3 pbc="T T T"
B 24.749 0.000 1.750
C 17.907 0.000 1.266
B 11.210 0.000 0.793
C 29.835 0.000 2.110
C 16.359 0.000 1.157
B 2.842 0.000 0.201
B 9.516 0.000 0.673
C 4.430 0.000 0.313
B 31.424 0.000 2.222
B 23.055 0.000 1.630
```

Computed properties:
- Symmetry: R-3m
- DFT formation energy: 649 meV/atom
- Total moment: 0.0 μB per formula unit

Density of states at the Fermi level: 0.35; 0.41; 0.70 (states/eV/f.u.)
Energy above the lowest structure with this stoichiometry: 204; 254; 438 (meV per atom)